# 1
## CoTc2 (GGA-PBE)

Data for an optimized crystal structure of CoTc2.

Computed properties:
- offset from the most stable computed form (eV per atom) = 0.000
- space-group type = Cmcm (63)
- energy of formation (eV per atom) = 0.013

Lattice parameters (Å, degrees): 2.6873 7.0674 4.2536 90.00 90.00 79.04
Element x y z (fractional)
Co (0.3351, 0.3299, 0.0000)
Co (0.5538, 0.8923, 0.5000)
Tc (0.9984, 0.0032, 0.0000)
Tc (0.2215, 0.5570, 0.5000)
Tc (0.6674, 0.6652, 0.0000)
Tc (0.8905, 0.2190, 0.5000)

***

# 2
## MgTc2Ag (GGA-PBE)

Data for an optimized crystal structure of MgTc2Ag.

Computed properties:
- space-group type = Pmmm (47)
- energy of formation (eV per atom) = 0.300

Lattice parameters (Å, degrees): 3.2351 4.1605 4.7101 90.00 90.00 90.00
Element x y z (fractional)
Ag (0.5000, 0.0000, 0.5000)
Mg (0.0000, 0.5000, 0.5000)
Tc (0.0000, 0.0000, 0.0000)
Tc (0.5000, 0.5000, 0.0000)

***

# 3
## ZnBH2 (GGA-PBE)

Data for an optimized crystal structure of ZnBH2.

Computed properties:
- offset from the most stable computed form (eV per atom) = 0.000
- space-group type = I4_1/amd (141)

Lattice parameters (Å, degrees): 4.5943 4.5943 4.7360 60.99 60.99 90.00
Element x y z (fractional)
H (0.3757, 0.1250, 0.2500)
H (0.3743, 0.6250, 0.2500)
H (0.3750, 0.6243, 0.7500)
H (0.8750, 0.6257, 0.7500)
Zn (0.0000, 0.0000, 0.0000)
Zn (0.7500, 0.2500, 0.5000)
B (0.5000, 0.5000, 0.0000)
B (0.2500, 0.7500, 0.5000)

***

# 4
## VSe2NCl (GGA-PBE)

Data for an optimized crystal structure of VSe2NCl.

Computed properties:
- offset from the most stable computed form (eV per atom) = 1.380
- space-group type = P4/mmm (123)
- formation energy from raw total energies (meV per atom) = 1595

Lattice parameters (Å, degrees): 5.0484 5.0484 3.4045 90.00 90.00 90.00
Each line ends with the local moment (μB).
Element x y z (fractional)
N (0.0000, 0.0000, 0.5000)  0.05
Cl (0.0000, 0.0000, 0.0000)  0.01
Se (0.0000, 0.5000, 0.0000)  0.05
Se (0.5000, 0.0000, 0.0000)  0.05
V (0.5000, 0.5000, 0.5000)  -0.28

***

# 5
## Dy2TmSc2Pd5 (GGA-PBE)

Data for an optimized crystal structure of Dy2TmSc2Pd5.

Computed properties:
- space-group type = P4/mbm (127)
- energy of formation (eV per atom) = -0.742

Lattice parameters (Å, degrees): 3.5661 10.7713 10.7713 90.00 90.00 90.00
Element x y z (fractional)
Dy (0.0000, 0.6703, 0.1703)
Dy (0.0000, 0.3297, 0.8297)
Dy (0.0000, 0.1703, 0.3297)
Dy (0.0000, 0.8297, 0.6703)
Tm (0.0000, 0.0000, 0.0000)
Tm (0.0000, 0.5000, 0.5000)
Sc (0.0000, 0.1310, 0.6310)
Sc (0.0000, 0.8690, 0.3690)
Sc (0.0000, 0.6310, 0.8690)
Sc (0.0000, 0.3690, 0.1310)
Pd (0.5000, 0.2075, 0.0301)
Pd (0.5000, 0.7925, 0.9699)
Pd (0.5000, 0.0301, 0.7925)
Pd (0.5000, 0.7075, 0.4699)
Pd (0.5000, 0.9699, 0.2075)
Pd (0.5000, 0.2925, 0.5301)
Pd (0.5000, 0.5301, 0.7075)
Pd (0.5000, 0.4699, 0.2925)
Pd (0.5000, 0.5000, 0.0000)
Pd (0.5000, 0.0000, 0.5000)

***

# 6
## CsMgBiTe3 (GGA-PBE)

Data for an optimized crystal structure of CsMgBiTe3.

Computed properties:
- space-group type = P2_1/m (11)
- formation energy from raw total energies (meV per atom) = -733

Lattice parameters (Å, degrees): 4.6205 10.4992 11.1217 110.14 90.00 90.00
Element x y z (fractional)
Cs (0.2500, 0.2094, 0.2435)
Cs (0.7500, 0.7906, 0.7565)
Mg (0.2500, 0.0858, 0.6106)
Mg (0.7500, 0.9142, 0.3894)
Bi (0.2500, 0.6670, 0.1275)
Bi (0.7500, 0.3330, 0.8725)
Te (0.7500, 0.8759, 0.1279)
Te (0.2500, 0.1241, 0.8721)
Te (0.2500, 0.8009, 0.4624)
Te (0.7500, 0.1991, 0.5376)
Te (0.7500, 0.4696, 0.1578)
Te (0.2500, 0.5304, 0.8422)

***

VASP energy list, top to bottom, in eV/atom: -9.27, -5.99, -2.89, -3.66, -5.97, -3.36
Volume list, top to bottom, in Å³/atom: 13.2, 15.8, 9.1, 17.4, 20.7, 42.2